(1)
VASP calculation (PBE-GGA) on a geometry-optimized GdTmPt structure.

Geometry as extended XYZ:
```
3
Lattice="-3.464 -2.179 1.049 2.567 -3.770 0.645 -0.761 2.895 3.501" Properties=species:S:1:pos:R:3 pbc="T T T"
Tm -0.320 -0.201 0.097
Gd -0.640 -2.868 2.233
Pt -0.697 0.015 2.866
```

For the volume, the calculation gives 25.9 A^3/atom. The raw total energy comes out at -26.65 eV/cell.

***

(2)
VASP calculation (PBE-GGA) on a geometry-optimized GdTmPt2 structure.

Geometry as extended XYZ:
```
4
Lattice="-2.699 2.070 0.741 -1.345 -2.483 2.037 3.500 2.601 5.481" Properties=species:S:1:pos:R:3 pbc="T T T"
Gd -0.272 1.094 4.129
Tm -2.022 -0.206 1.389
Pt 0.832 0.618 1.302
Pt 2.668 1.983 4.178
```

For the volume, the calculation gives 21.2 A^3/atom. The raw total energy comes out at -35.50 eV/cell.

***

(3)
VASP calculation (PBE-GGA) on a geometry-optimized GdTmPt2 structure.

Geometry as extended XYZ:
```
4
Lattice="4.062 0.000 0.000 2.031 3.518 0.000 2.031 1.173 6.632" Properties=species:S:1:pos:R:3 pbc="T T T"
Pt 6.093 3.518 5.034
Tm 0.000 0.000 0.000
Gd 4.062 2.345 3.316
Pt 2.031 1.173 1.597
```

For the volume, the calculation gives 23.7 A^3/atom. The raw total energy comes out at -35.17 eV/cell.

***

(4)
VASP calculation (PBE-GGA) on a geometry-optimized GdYZnPt structure.

Geometry as extended XYZ:
```
4
Lattice="-3.349 2.796 -2.481 -4.782 -1.493 -0.304 -3.565 2.472 2.522" Properties=species:S:1:pos:R:3 pbc="T T T"
Pt -5.848 1.888 -0.131
Gd -2.924 0.944 -0.066
Zn 0.000 0.000 0.000
Y -8.772 2.831 -0.197
```

For the volume, the calculation gives 22.3 A^3/atom. The raw total energy comes out at -30.93 eV/cell.